VTcF2 (PBE with a Hubbard U, relaxed); space-group type = No. 225; M_tot = 5.76 μB/f.u.; density = 5.891 Mg/m³; offset from the most stable computed form = 1.108 eV per atom
1.0
0.000 2.976 2.976
2.976 0.000 2.976
2.976 2.976 0.000
V F Tc
1 2 1
Cartesian
0.000 0.000 0.000
4.464 4.464 4.464
1.488 1.488 1.488
2.976 2.976 2.976